AcPtI2 | PBE | relaxed

Calculated values
The size of the total moment is 0.00 μB/cell. Its space-group type is R-3m, No. 166. The volume is 38.22 A^3/atom. The formation energy without anion corrections comes out at -315 meV per atom.

a b c (Å): 4.2739 4.2739 9.9749
angles (deg): 77.63 77.63 60.00
Closest atoms and distances in Å follow each position.
Fractional positions:
I1 0.0875 0.0875 0.7375  1 Pt 2.54
I2 0.9125 0.9125 0.2625  1 Pt 2.54
Ac1 0.5000 0.5000 0.5000  6 I 3.37
Pt1 0.0000 0.0000 0.0000  2 I 2.54